Entry from Alexandria: a geometry-optimized Sc4GePS2 structure (PBE).

## Properties
Space-group type = P2/m (10)
Density of states at the Fermi level = 0.203 states/eV per atom
Energy = -6.996 eV per atom

Unit cell a=3.7613 b=6.5426 c=6.5162 alpha=70.70 beta=90.00 gamma=90.00
Sites, in units of the cell vectors:
Sc1 0.0000 0.7486 0.7473
Sc2 0.5000 0.7436 0.2549
Sc3 0.5000 0.2564 0.7451
Sc4 0.0000 0.2514 0.2527
S1 0.0000 0.0000 0.0000
S2 0.5000 0.0000 0.5000
P1 0.0000 0.5000 0.5000
Ge1 0.5000 0.5000 0.0000